# Ta2BeOs

Crystalline Ta2BeOs at its relaxed geometry (PBE, the Alexandria database).

```
data_Ta2BeOs
_symmetry_space_group_name_H-M 'P 1'
_symmetry_Int_Tables_number 1
_symmetry_space_group_name_Hall 'P 1'
_cell_length_a 4.685
_cell_length_b 4.685
_cell_length_c 4.685
_cell_angle_alpha 128.55
_cell_angle_beta 128.48
_cell_angle_gamma 75.80
loop_
_atom_site_label
_atom_site_type_symbol
_atom_site_fract_x
_atom_site_fract_y
_atom_site_fract_z
Be1 Be 0.750 0.250 0.500
Os1 Os 0.250 0.750 0.500
Ta1 Ta 0.000 0.000 0.000
Ta2 Ta 0.500 0.500 0.000
```

Results
Total DFT energy (no corrections) = -9.697 eV/atom
ΔH_f (0 K) = -0.127 eV/f.u.
Space-group type = I4/mmm